*i*
{"formula": "Li2Cd12Ag5", "functional": "PBE", "state": "optimized geometry", "lattice_angstrom": [[-5.810, -1.353, 1.059], [2.236, -2.886, -8.748], [1.855, -7.283, 0.872]], "species": ["Cd", "Cd", "Cd", "Cd", "Cd", "Cd", "Cd", "Cd", "Cd", "Cd", "Cd", "Cd", "Li", "Li", "Ag", "Ag", "Ag", "Ag", "Ag"], "frac_coords": [[0.145, 0.790, 0.361], [0.448, 0.400, 0.221], [0.855, 0.210, 0.639], [0.546, 0.093, 0.306], [0.454, 0.907, 0.694], [0.140, 0.281, 0.950], [0.552, 0.600, 0.779], [0.048, 0.600, 0.779], [0.646, 0.790, 0.361], [0.952, 0.400, 0.221], [0.860, 0.719, 0.050], [0.354, 0.210, 0.639], [0.740, 0.000, 0.000], [0.260, 0.000, 0.000], [0.252, 0.504, 0.495], [0.354, 0.707, 0.064], [0.000, 0.000, 0.500], [0.748, 0.496, 0.505], [0.646, 0.293, 0.936]], "n_ef_per_ev_atom": 0.331, "spacegroup": "C2/m"}

***

*ii*
{"formula": "Li2Cd12Ag5", "functional": "PBE", "state": "optimized geometry", "lattice_angstrom": [[-3.098, -1.158, -3.259], [5.039, -7.098, -5.584], [-0.559, -10.290, 0.869]], "species": ["Ag", "Ag", "Ag", "Ag", "Ag", "Cd", "Cd", "Cd", "Cd", "Cd", "Cd", "Cd", "Cd", "Cd", "Cd", "Cd", "Cd", "Li", "Li"], "frac_coords": [[0.308, 0.193, 0.193], [0.692, 0.807, 0.807], [0.500, 0.000, 0.000], [0.704, 0.296, 0.296], [0.296, 0.704, 0.704], [0.197, 0.539, 0.067], [0.588, 0.640, 0.185], [0.588, 0.185, 0.640], [0.197, 0.067, 0.539], [0.098, 0.900, 0.900], [0.412, 0.360, 0.815], [0.915, 0.582, 0.582], [0.412, 0.815, 0.360], [0.902, 0.100, 0.100], [0.803, 0.933, 0.461], [0.085, 0.418, 0.418], [0.803, 0.461, 0.933], [0.000, 0.231, 0.769], [0.000, 0.769, 0.231]], "n_ef_per_ev_atom": 0.204, "spacegroup": "C2/m"}

***

Pick the least stable structure from those above. Pick: *i*